Record 1
This record from Alexandria describes crystalline CuBiPb3 at its relaxed geometry. The functional is PBE.

```
CuBiPb3
1.0
-2.7205 0.5069 -4.5409
-3.7543 -3.2602 1.8854
-2.6042 4.1705 2.0257
Bi Pb Cu
1 3 1
Cartesian
-4.5395 0.7086 -0.3149
-1.8772 -1.6301 0.9427
-1.3603 0.2534 -2.2705
-1.3021 2.0852 1.0129
0.0000 0.0000 0.0000
```

* DOS(E_F): 0.60 states/eV/atom
* energy of formation: 0.205 eV per atom
* electronic total energy: -3.62 eV/atom
* total moment: 0.00 μB/cell


Record 2
This record from Alexandria describes crystalline CuBi2PdPb at its relaxed geometry. The functional is PBE.

```
CuBi2PdPb
1.0
-5.0578 -3.0288 0.1011
2.6028 -4.3518 -0.1596
0.1820 -0.1072 5.8924
Pd Cu Pb Bi
1 1 1 2
Cartesian
1.3014 -2.1759 -0.0798
-1.1365 -3.7439 2.9170
0.0000 0.0000 0.0000
0.0910 -0.0536 2.9462
-2.5289 -1.5144 0.0505
```

* DOS(E_F): 0.85 states/eV/atom
* energy of formation: 1.068 eV per atom
* electronic total energy: -3.08 eV/atom
* total moment: 0.00 μB/cell